(1)
This record from the Alexandria database describes an optimized crystal structure of Nd6AlAg. The functional is GGA-PBE.

Properties
Energy above the most stable polymorph in this dataset (meV per atom): 0
E_form (eV/atom): -0.13
Crystal system: tetragonal
Symmetry: I4/mmm (139)
E (Ry/atom): -0.333
Density of states at the Fermi level (states/eV per cell): 10.1
Total magnetic moment (μB/atom): 0.00

Geometry as CIF:
```
data_Nd6AlAg
_space_group_name_H-M_alt 'P 1'
_space_group_IT_number 1
_space_group_name_Hall 'P 1'
_cell_length_a 9.7239
_cell_length_b 9.7239
_cell_length_c 9.7239
_cell_angle_alpha 148.69
_cell_angle_beta 148.69
_cell_angle_gamma 44.86
loop_
_atom_site_label
_atom_site_fract_x
_atom_site_fract_y
_atom_site_fract_z
Nd1 0.1060 0.6060 0.5000
Nd2 0.2476 0.2476 0.0000
Nd3 0.3940 0.8940 0.5000
Nd4 0.6060 0.1060 0.5000
Nd5 0.7524 0.7524 0.0000
Nd6 0.8940 0.3940 0.5000
Al1 0.0000 0.0000 0.0000
Ag1 0.5000 0.5000 0.0000
```

(2)
This record from the Alexandria database describes an optimized crystal structure of NaZn2TcPt. The functional is GGA-PBE.

Properties
E_form (eV/atom): 1.31
Crystal system: tetragonal
Symmetry: P4/mmm (123)
E (Ry/atom): -0.202
Density of states at the Fermi level (states/eV per cell): 4.7
Total magnetic moment (μB/atom): 0.56

Geometry as CIF:
```
data_NaZn2TcPt
_space_group_name_H-M_alt 'P 1'
_space_group_IT_number 1
_space_group_name_Hall 'P 1'
_cell_length_a 4.7930
_cell_length_b 4.7930
_cell_length_c 5.1363
_cell_angle_alpha 90.00
_cell_angle_beta 90.00
_cell_angle_gamma 90.00
loop_
_atom_site_label
_atom_site_fract_x
_atom_site_fract_y
_atom_site_fract_z
Na1 0.0000 0.0000 0.0000
Zn1 0.0000 0.5000 0.5000
Zn2 0.5000 0.0000 0.5000
Tc1 0.0000 0.0000 0.5000
Pt1 0.5000 0.5000 0.0000
```

(3)
This record from the Alexandria database describes an optimized crystal structure of LaSnPt2. The functional is GGA-PBE.

Properties
E_form (eV/atom): -0.92
Crystal system: trigonal
Symmetry: R-3m (166)
E (Ry/atom): -0.454
Density of states at the Fermi level (states/eV per cell): 2.4
Total magnetic moment (μB/atom): 0.00

Geometry as CIF:
```
data_LaSnPt2
_space_group_name_H-M_alt 'P 1'
_space_group_IT_number 1
_space_group_name_Hall 'P 1'
_cell_length_a 5.5764
_cell_length_b 5.5764
_cell_length_c 5.5764
_cell_angle_alpha 49.15
_cell_angle_beta 49.15
_cell_angle_gamma 49.15
loop_
_atom_site_label
_atom_site_fract_x
_atom_site_fract_y
_atom_site_fract_z
La1 0.0000 0.0000 0.0000
Sn1 0.5000 0.5000 0.5000
Pt1 0.2123 0.2123 0.2123
Pt2 0.7877 0.7877 0.7877
```